Record 1
CdSn3Pb3 | PBE | relaxed

E above lowest polymorph (meV per atom): 267
Uncorrected energy (eV for the cell shown): -43.7
ΔE_f (eV per atom): 0.31
DOS(E_F) (states/eV per cell): 3.847

abc: 8.3848 8.3848 8.3848
angles: 90.00 90.00 90.00
Element x y z (fractional)
1 Cd 0.0000 0.0000 0.0000
2 Cd 0.5000 0.5000 0.5000
3 Sn 0.0000 0.2500 0.5000
4 Sn 0.0000 0.7500 0.5000
5 Sn 0.2500 0.5000 0.0000
6 Sn 0.5000 0.0000 0.2500
7 Sn 0.5000 0.0000 0.7500
8 Sn 0.7500 0.5000 0.0000
9 Pb 0.0000 0.5000 0.2500
10 Pb 0.0000 0.5000 0.7500
11 Pb 0.2500 0.0000 0.5000
12 Pb 0.5000 0.2500 0.0000
13 Pb 0.5000 0.7500 0.0000
14 Pb 0.7500 0.0000 0.5000



Record 2
CdSn3Pb3 | PBE | relaxed

E above lowest polymorph (meV per atom): 0
Uncorrected energy (eV for the cell shown): -47.4
ΔE_f (eV per atom): 0.05
DOS(E_F) (states/eV per cell): 5.368

abc: 7.6888 7.6888 7.6888
angles: 73.04 73.04 73.04
Element x y z (fractional)
1 Cd 0.2486 0.2486 0.2486
2 Cd 0.7514 0.7514 0.7514
3 Sn 0.0371 0.9006 0.3161
4 Sn 0.0994 0.6839 0.9629
5 Sn 0.3161 0.0371 0.9006
6 Sn 0.6839 0.9629 0.0994
7 Sn 0.9006 0.3161 0.0371
8 Sn 0.9629 0.0994 0.6839
9 Pb 0.1722 0.4617 0.6127
10 Pb 0.3873 0.8278 0.5383
11 Pb 0.4617 0.6127 0.1722
12 Pb 0.5383 0.3873 0.8278
13 Pb 0.6127 0.1722 0.4617
14 Pb 0.8278 0.5383 0.3873



Record 3
Cd2Sn2Pb7 | PBE | relaxed

E above lowest polymorph (meV per atom): 22
Uncorrected energy (eV for the cell shown): -34.8
ΔE_f (eV per atom): 0.09
DOS(E_F) (states/eV per cell): 4.599

abc: 6.5222 6.5222 9.1566
angles: 91.02 91.02 118.64
Element x y z (fractional)
1 Cd 0.0493 0.0493 0.1629
2 Cd 0.9507 0.9507 0.8371
3 Sn 0.2534 0.7466 0.5000
4 Sn 0.7466 0.2534 0.5000
5 Pb 0.0056 0.4940 0.8204
6 Pb 0.2505 0.2505 0.5706
7 Pb 0.4940 0.0056 0.8204
8 Pb 0.5000 0.5000 0.0000
9 Pb 0.5060 0.9944 0.1796
10 Pb 0.7495 0.7495 0.4294
11 Pb 0.9944 0.5060 0.1796



Record 4
Cd2SnPb6 | PBE | relaxed

E above lowest polymorph (meV per atom): 29
Uncorrected energy (eV for the cell shown): -27.5
ΔE_f (eV per atom): 0.06
DOS(E_F) (states/eV per cell): 4.456

abc: 7.7854 7.7854 11.4808
angles: 117.45 117.45 26.29
Element x y z (fractional)
1 Cd 0.1381 0.1381 0.2584
2 Cd 0.8619 0.8619 0.7416
3 Sn 0.5000 0.5000 0.0000
4 Pb 0.1526 0.1526 0.5418
5 Pb 0.2605 0.2605 0.8842
6 Pb 0.4597 0.4597 0.2738
7 Pb 0.5403 0.5403 0.7262
8 Pb 0.7395 0.7395 0.1158
9 Pb 0.8474 0.8474 0.4582



Record 5
Cd2SnPb2 | PBE | relaxed

E above lowest polymorph (meV per atom): 17
Uncorrected energy (eV for the cell shown): -25.8
ΔE_f (eV per atom): 0.07
DOS(E_F) (states/eV per cell): 4.739

abc: 7.7405 7.7405 4.7607
angles: 90.00 90.00 90.00
Element x y z (fractional)
1 Cd 0.1313 0.3687 0.0000
2 Cd 0.3687 0.8687 0.0000
3 Cd 0.6313 0.1313 0.0000
4 Cd 0.8687 0.6313 0.0000
5 Sn 0.0000 0.0000 0.0000
6 Sn 0.5000 0.5000 0.0000
7 Pb 0.1734 0.6734 0.5000
8 Pb 0.3266 0.1734 0.5000
9 Pb 0.6734 0.8266 0.5000
10 Pb 0.8266 0.3266 0.5000



Record 6
Cd2SnPb | PBE | relaxed

E above lowest polymorph (meV per atom): 16
Uncorrected energy (eV for the cell shown): -9.3
ΔE_f (eV per atom): 0.06
DOS(E_F) (states/eV per cell): 1.311

abc: 9.7611 9.7611 9.7611
angles: 21.42 21.42 21.42
Element x y z (fractional)
1 Cd 0.2474 0.2474 0.2474
2 Cd 0.7526 0.7526 0.7526
3 Sn 0.5000 0.5000 0.5000
4 Pb 0.0000 0.0000 0.0000



Record 7
CdSn2Pb4 | PBE | relaxed

E above lowest polymorph (meV per atom): 284
Uncorrected energy (eV for the cell shown): -21.1
ΔE_f (eV per atom): 0.38
DOS(E_F) (states/eV per cell): 5.117

abc: 8.7047 8.7047 8.7047
angles: 141.77 141.77 55.18
Element x y z (fractional)
1 Cd 0.0000 0.0000 0.0000
2 Sn 0.3889 0.3889 0.0000
3 Sn 0.6111 0.6111 0.0000
4 Pb 0.0000 0.5000 0.5000
5 Pb 0.1940 0.1940 0.0000
6 Pb 0.5000 0.0000 0.5000
7 Pb 0.8060 0.8060 0.0000



Record 8
Cd4Sn5Pb4 | PBE | relaxed

Uncorrected energy (eV for the cell shown): -37.8
ΔE_f (eV per atom): 0.06
DOS(E_F) (states/eV per cell): 5.905

abc: 9.0299 9.0299 9.0299
angles: 93.97 93.97 149.49
Element x y z (fractional)
1 Cd 0.0727 0.3948 0.4675
2 Cd 0.3948 0.9273 0.3220
3 Cd 0.6052 0.0727 0.6780
4 Cd 0.9273 0.6052 0.5325
5 Sn 0.0000 0.0000 0.0000
6 Sn 0.3029 0.5392 0.8421
7 Sn 0.4608 0.3029 0.7636
8 Sn 0.5392 0.6971 0.2364
9 Sn 0.6971 0.4608 0.1579
10 Pb 0.1488 0.7629 0.9117
11 Pb 0.2371 0.1488 0.3859
12 Pb 0.7629 0.8512 0.6141
13 Pb 0.8512 0.2371 0.0883



Record 9
CdSn2Pb | PBE | relaxed

E above lowest polymorph (meV per atom): 50
Uncorrected energy (eV for the cell shown): -12.2
ΔE_f (eV per atom): 0.10
DOS(E_F) (states/eV per cell): 1.755

abc: 6.5018 6.5018 6.5018
angles: 44.18 44.18 44.18
Element x y z (fractional)
1 Cd 0.0000 0.0000 0.0000
2 Sn 0.3960 0.3960 0.3960
3 Sn 0.5857 0.5857 0.5857
4 Pb 0.8179 0.8179 0.8179



Record 10
Cd2SnPb | PBE | relaxed

E above lowest polymorph (meV per atom): 89
Uncorrected energy (eV for the cell shown): -18.0
ΔE_f (eV per atom): 0.13
DOS(E_F) (states/eV per cell): 4.527

abc: 6.7543 6.7543 6.7543
angles: 102.61 102.61 124.28
Element x y z (fractional)
1 Cd 0.1117 0.6250 0.9867
2 Cd 0.3750 0.3617 0.4867
3 Cd 0.6383 0.1250 0.0133
4 Cd 0.8750 0.8883 0.5133
5 Sn 0.0000 0.0000 0.0000
6 Sn 0.7500 0.2500 0.5000
7 Pb 0.2500 0.7500 0.5000
8 Pb 0.5000 0.5000 0.0000